# 1
Entry from the Alexandria database: Dy2Ti3Ge4 after structural relaxation (GGA-PBE).

```
data_Dy2Ti3Ge4
_symmetry_space_group_name_H-M 'P 1 21/c 1'
_symmetry_Int_Tables_number 14
_cell_length_a 7.170
_cell_length_b 7.154
_cell_length_c 7.004
_cell_angle_alpha 90.00
_cell_angle_beta 109.65
_cell_angle_gamma 90.00
loop_
_symmetry_equiv_pos_as_xyz
'x,y,z'
'-x,-y,-z'
'-x,y+1/2,-z+1/2'
'x,-y+1/2,z+1/2'
loop_
_atom_site_label
_atom_site_type_symbol
_atom_site_fract_x
_atom_site_fract_y
_atom_site_fract_z
Dy1 Dy 0.188 0.171 0.062
Ti1 Ti 0.256 0.671 0.249
Ti2 Ti 0.500 0.000 0.500
Ge1 Ge 0.088 0.543 0.860
Ge2 Ge 0.496 0.133 0.863
```

## Properties
- energy of formation (eV/f.u.) = -7.22

=====

# 2
Entry from the Alexandria database: Dy2TlGe after structural relaxation (GGA-PBE).

```
data_Dy2TlGe
_symmetry_space_group_name_H-M 'P 4/m m m'
_symmetry_Int_Tables_number 123
_symmetry_space_group_name_Hall '-P 4 2'
_cell_length_a 3.435
_cell_length_b 3.435
_cell_length_c 8.426
_cell_angle_alpha 90.00
_cell_angle_beta 90.00
_cell_angle_gamma 90.00
loop_
_atom_site_label
_atom_site_type_symbol
_atom_site_fract_x
_atom_site_fract_y
_atom_site_fract_z
Dy1 Dy 0.000 0.000 0.227
Tl1 Tl 0.500 0.500 0.500
Ge1 Ge 0.500 0.500 0.000
```

## Properties
- energy of formation (eV/f.u.) = -1.92